Density functional theory data (PBE) for an optimized crystal structure of Ce2TmSe5.

a = 8.079 Å, b = 12.226 Å, c = 4.146 Å
α = 90.00°, β = 90.00°, γ = 90.00°
Fractional coordinates of all 16 atoms:
Ce (0.030, 0.178, 0.000)
Ce (0.470, 0.678, 0.000)
Ce (0.530, 0.322, 0.000)
Ce (0.970, 0.822, 0.000)
Tm (0.000, 0.500, 0.500)
Tm (0.500, 0.000, 0.500)
Se (0.000, 0.000, 0.500)
Se (0.175, 0.402, 0.000)
Se (0.179, 0.698, 0.500)
Se (0.321, 0.198, 0.500)
Se (0.325, 0.902, 0.000)
Se (0.500, 0.500, 0.500)
Se (0.675, 0.098, 0.000)
Se (0.679, 0.802, 0.500)
Se (0.821, 0.302, 0.500)
Se (0.825, 0.598, 0.000)

=====

Density functional theory data (PBE) for an optimized crystal structure of YZr2Pd.

Output
ΔE to the lowest computed polymorph: 49 meV/atom
formation energy from the elements: -0.006 eV per atom

a = 7.004 Å, b = 7.004 Å, c = 7.004 Å
α = 90.00°, β = 90.00°, γ = 90.00°
Fractional coordinates of all 16 atoms:
Y (0.000, 0.000, 0.000)
Y (0.000, 0.500, 0.500)
Y (0.500, 0.000, 0.500)
Y (0.500, 0.500, 0.000)
Zr (0.250, 0.250, 0.250)
Zr (0.250, 0.250, 0.750)
Zr (0.250, 0.750, 0.250)
Zr (0.250, 0.750, 0.750)
Zr (0.750, 0.250, 0.250)
Zr (0.750, 0.250, 0.750)
Zr (0.750, 0.750, 0.250)
Zr (0.750, 0.750, 0.750)
Pd (0.000, 0.000, 0.500)
Pd (0.000, 0.500, 0.000)
Pd (0.500, 0.000, 0.000)
Pd (0.500, 0.500, 0.500)

=====

Density functional theory data (PBE) for an optimized crystal structure of Ho3B2Pt9Rh.

Output
formation energy from the elements: -0.758 eV per atom

a = 5.669 Å, b = 5.669 Å, c = 9.486 Å
α = 90.00°, β = 90.00°, γ = 120.00°
Fractional coordinates of all 15 atoms:
Ho (0.000, 0.000, 0.000)
Ho (0.333, 0.667, 0.594)
Ho (0.667, 0.333, 0.406)
B (0.333, 0.667, 0.147)
B (0.667, 0.333, 0.853)
Pt (0.000, 0.500, 0.000)
Pt (0.162, 0.324, 0.277)
Pt (0.162, 0.838, 0.277)
Pt (0.324, 0.162, 0.723)
Pt (0.500, 0.000, 0.000)
Pt (0.500, 0.500, 0.000)
Pt (0.676, 0.838, 0.277)
Pt (0.838, 0.162, 0.723)
Pt (0.838, 0.676, 0.723)
Rh (0.000, 0.000, 0.500)

=====

Number 1: E -95.42 eV per cell. Number 2: E -115.11 eV per cell. Number 3: E -100.18 eV per cell.